# 1
VASP calculation (PBEsol) on crystalline FeTcNi6 at its relaxed geometry.

Cell and atoms, written as extended XYZ:
```
32
Lattice="3.527 -4.987 0.000 3.527 4.987 0.000 0.000 0.000 9.972" Properties=species:S:1:pos:R:3 pbc="T T T"
Fe 0.000 0.000 2.463
Fe 0.000 0.000 7.509
Fe 3.527 2.480 0.000
Fe 3.527 -2.480 0.000
Tc 3.527 2.481 4.986
Tc 3.527 0.000 2.469
Tc 3.527 0.000 7.503
Tc 3.527 -2.481 4.986
Ni 0.000 0.000 0.000
Ni 0.000 0.000 4.986
Ni 1.747 1.251 1.232
Ni 1.747 1.251 8.740
Ni 1.748 1.244 3.721
Ni 1.748 1.244 6.250
Ni 3.527 2.498 2.477
Ni 3.527 2.498 7.494
Ni 1.747 -1.251 1.232
Ni 1.747 -1.251 8.740
Ni 1.748 -1.244 3.721
Ni 1.748 -1.244 6.250
Ni 3.527 0.000 0.000
Ni 3.527 0.000 4.986
Ni 5.306 1.244 3.721
Ni 5.306 1.244 6.250
Ni 5.307 1.251 1.232
Ni 5.307 1.251 8.740
Ni 3.527 -2.498 2.477
Ni 3.527 -2.498 7.494
Ni 5.306 -1.244 3.721
Ni 5.306 -1.244 6.250
Ni 5.307 -1.251 1.232
Ni 5.307 -1.251 8.740
```

Total DFT energy (no corrections): -227.79 eV/cell

=====

# 2
VASP calculation (PBEsol) on crystalline TiFe2NiTe at its relaxed geometry.

Cell and atoms, written as extended XYZ:
```
5
Lattice="4.352 0.000 0.000 0.000 4.352 0.000 0.000 0.000 4.430" Properties=species:S:1:pos:R:3 pbc="T T T"
Ti 0.000 0.000 0.000
Fe 0.000 2.176 2.215
Fe 2.176 0.000 2.215
Ni 0.000 0.000 2.215
Te 2.176 2.176 0.000
```

E_form (uncorrected): 0.551 eV per atom

=====

Number 1: V 351 Å³ per cell, total moment 26.410 Bohr magnetons per cell. Number 2: V 84 Å³ per cell, total moment 5.407 Bohr magnetons per cell.